Entry 1:
## Co4Ru3 (PBE)

Data for a relaxed structure of Co4Ru3.

Cell lengths 2.6264, 2.6264, 24.7905 Å; angles 90.00, 90.00, 90.00 degrees
Last column: nearest neighbours and their distance in Å.
Space group I4/mmm (No. 139)
Asymmetric unit:
Co (0.0000, 0.0000, 0.0726) (multiplicity 4)  8 Co 2.46-2.63, 4 Ru 2.59
Co (0.0000, 0.0000, 0.3623) (multiplicity 4)  8 Co 2.46-2.63, 4 Ru 2.60
Ru (0.0000, 0.0000, 0.2113) (multiplicity 4)  4 Co 2.60, 8 Ru 2.63-2.67
Ru (0.0000, 0.0000, 0.5000) (multiplicity 2)  8 Co 2.59, 4 Ru 2.63

Output
- formation energy from the elements (eV per atom) = 0.1599
- theoretical density (g/cm3) = 10.47
- total moment (μB/cell) = 10.08

=====

Entry 2:
## Ac2Zn2AgPd5 (PBE)

Data for a relaxed structure of Ac2Zn2AgPd5.

Cell lengths 10.0851, 10.0851, 3.9154 Å; angles 90.00, 90.00, 90.00 degrees
Last column: nearest neighbours and their distance in Å.
Space group P4/mbm (No. 127)
Asymmetric unit:
Ac (0.1840, 0.3160, 0.0000) (multiplicity 4)  3 Zn 2.90-3.08, 4 Pd 3.24
Zn (0.1126, 0.6126, 0.0000) (multiplicity 4)  6 Pd 2.53-2.70
Ag (0.0000, 0.0000, 0.0000) (multiplicity 2)  8 Pd 2.95
Pd (0.0000, 0.5000, 0.5000) (multiplicity 2)  4 Zn 2.53
Pd (0.0618, 0.7897, 0.5000) (multiplicity 8)  2 Zn 2.70, 2 Ag 2.95, 1 Pd 2.99

Output
- formation energy from the elements (eV per atom) = -0.5443
- theoretical density (g/cm3) = 10.21
- total moment (μB/cell) = 0.00

=====

Entry 3:
## Na2Li2Ge (PBE)

Data for a relaxed structure of Na2Li2Ge.

Cell lengths 7.6582, 7.6582, 3.9677 Å; angles 90.00, 90.00, 90.00 degrees
Last column: nearest neighbours and their distance in Å.
Space group P4/mbm (No. 127)
Asymmetric unit:
Na (0.1364, 0.3636, 0.0000) (multiplicity 4)  2 Li 2.79, 1 Na 2.96, 2 Ge 2.97
Li (0.1826, 0.6826, 0.5000) (multiplicity 4)  2 Na 2.79
Ge (0.0000, 0.0000, 0.0000) (multiplicity 2)  4 Na 2.97

Output
- energy above the most stable polymorph in this dataset (eV/atom) = 0.1924
- formation energy from the elements (eV per atom) = 0.1466
- theoretical density (g/cm3) = 1.89
- total moment (μB/cell) = 0.00

=====

Entry 4:
## CsRb4Au3 (PBE)

Data for a relaxed structure of CsRb4Au3.

Cell lengths 17.8625, 8.4906, 12.8296 Å; angles 90.00, 112.21, 90.00 degrees
Last column: nearest neighbours and their distance in Å.
Space group Cc (No. 9)
Asymmetric unit:
Cs (0.0000, 0.1559, 0.0000) (multiplicity 4)  3 Au 3.58-3.59
Rb (0.1081, 0.3450, 0.7061) (multiplicity 4)  4 Au 3.46-3.51
Rb (0.2040, 0.1795, 0.4092) (multiplicity 4)  4 Au 3.48-3.58
Rb (0.2824, 0.3356, 0.0918) (multiplicity 4)  4 Au 3.50-3.56
Rb (0.3915, 0.1489, 0.8035) (multiplicity 4)  3 Au 3.49-3.52
Au (0.0896, 0.4908, 0.4449) (multiplicity 4)  5 Rb 3.47-3.56, 1 Cs 3.59
Au (0.1959, 0.0031, 0.6578) (multiplicity 4)  5 Rb 3.46-3.58, 1 Cs 3.58
Au (0.3031, 0.4946, 0.8496) (multiplicity 4)  5 Rb 3.49-3.53, 1 Cs 3.58

Output
- energy above the most stable polymorph in this dataset (eV/atom) = 0.0000
- formation energy from the elements (eV per atom) = -0.2008
- theoretical density (g/cm3) = 3.93
- total moment (μB/cell) = 0.18

=====

Entry 5:
## Na3Sm3PbO8 (PBE)

Data for a relaxed structure of Na3Sm3PbO8.

Cell lengths 7.0243, 7.0243, 16.8315 Å; angles 90.00, 90.00, 120.00 degrees
Last column: nearest neighbours and their distance in Å.
Space group R-3m (No. 166, hexagonal axes)
Asymmetric unit:
Na (0.0000, 0.5000, 0.0000) (multiplicity 9)  6 O 2.56-2.61
Sm (0.0000, 0.5000, 0.5000) (multiplicity 9)  6 O 2.34-2.40
Pb (0.0000, 0.0000, 0.5000) (multiplicity 3)  6 O 2.24
O (0.0000, 0.0000, 0.2357) (multiplicity 6)  3 Sm 2.34, 3 Na 2.61
O (0.0193, 0.5096, 0.2365) (multiplicity 18)  1 Pb 2.24, 2 Sm 2.40

Output
- formation energy without anion corrections (meV/atom) = -2311
- theoretical density (g/cm3) = 5.92
- total moment (μB/cell) = 0.00

=====

Entry 6:
## K2CoW (PBE)

Data for a relaxed structure of K2CoW.

Cell lengths 12.3678, 12.3678, 4.4729 Å; angles 90.00, 90.00, 90.00 degrees
Last column: nearest neighbours and their distance in Å.
Space group I-42d (No. 122)
Asymmetric unit:
K (0.0732, 0.2500, 0.1250) (multiplicity 8)  2 Co 3.27, 2 W 3.63
Co (0.0000, 0.0000, 0.0000) (multiplicity 4)  2 W 2.24
W (0.0000, 0.0000, 0.5000) (multiplicity 4)  2 Co 2.24

Output
- energy above the most stable polymorph in this dataset (eV/atom) = 0.7050
- formation energy from the elements (eV per atom) = 1.5528
- theoretical density (g/cm3) = 3.12
- total moment (μB/cell) = 9.86

=====

Entry 7:
## AcLu2O (PBE)

Data for a relaxed structure of AcLu2O.

Cell lengths 3.4900, 3.4900, 28.6699 Å; angles 90.00, 90.00, 120.00 degrees
Last column: nearest neighbours and their distance in Å.
Space group R-3m (No. 166, hexagonal axes)
Asymmetric unit:
Ac (0.0000, 0.0000, 0.0000) (multiplicity 3)  6 Ac 3.49, 2 Lu 3.51
Lu (0.0000, 0.0000, 0.1225) (multiplicity 6)  3 O 2.38
O (0.0000, 0.0000, 0.5000) (multiplicity 3)  6 Lu 2.38

Output
- energy above the most stable polymorph in this dataset (eV/atom) = 0.0000
- formation energy without anion corrections (meV/atom) = -1142
- theoretical density (g/cm3) = 9.77
- total moment (μB/cell) = 0.00

=====

Entry 8:
## NaThSn6 (PBE)

Data for a relaxed structure of NaThSn6.

Cell lengths 4.6860, 4.6860, 9.7674 Å; angles 90.00, 90.00, 90.00 degrees
Last column: nearest neighbours and their distance in Å.
Space group P4/mmm (No. 123)
Asymmetric unit:
Na (0.0000, 0.0000, 0.0000) (multiplicity 1)  12 Sn 3.31-3.34
Th (0.0000, 0.0000, 0.5000) (multiplicity 1)  12 Sn 3.31-3.42
Sn (0.0000, 0.5000, 0.2444) (multiplicity 4)  8 Sn 3.31-3.42, 2 Na 3.34, 2 Th 3.42
Sn (0.5000, 0.5000, 0.0000) (multiplicity 1)  4 Na 3.31, 8 Sn 3.34
Sn (0.5000, 0.5000, 0.5000) (multiplicity 1)  4 Th 3.31, 8 Sn 3.42

Output
- formation energy from the elements (eV per atom) = -0.2645
- theoretical density (g/cm3) = 7.49
- total moment (μB/cell) = 0.00